Here is a relaxed structure of Pr5Co2Cl2 from Alexandria. Energies are from PBE. Values from VASP.

## Properties
D(E_F) = 15.73 states/eV per cell
magnetic moment = 0.000 μB/f.u.
E_form (uncorrected) = -0.615 eV per atom

Structure (Quantum ESPRESSO input):
```
&SYSTEM
  ibrav = 0, nat = 18, ntyp = 3
/
ATOMIC_SPECIES
Pr 140.91 Pr.upf
Co 58.93 Co.upf
Cl 35.45 Cl.upf
CELL_PARAMETERS angstrom
0.190 5.622 5.144
4.874 -4.478 4.713
6.223 5.802 -0.923
ATOMIC_POSITIONS crystal
Pr 0.233 0.158 0.236
Pr 0.031 0.658 0.236
Pr 0.267 0.658 0.764
Pr 0.733 0.342 0.236
Pr 0.767 0.842 0.764
Pr 0.531 0.842 0.236
Pr 0.969 0.342 0.764
Pr 0.000 0.000 0.000
Pr 0.500 0.500 0.000
Pr 0.469 0.158 0.764
Co 0.647 0.127 0.000
Co 0.353 0.873 0.000
Co 0.853 0.627 0.000
Co 0.147 0.373 0.000
Cl 0.299 0.500 0.402
Cl 0.701 0.500 0.598
Cl 0.799 0.000 0.402
Cl 0.201 0.000 0.598
```